Record 1
A relaxed structure of Zn4GaPt5. Source: Alexandria via LeMat-Bulk, functional GGA-PBE.

The structure in extended XYZ format:
```
10
Lattice="2.871 0.000 0.000 0.000 2.871 0.000 0.000 0.000 17.885" Properties=species:S:1:pos:R:3 pbc="T T T"
Zn 0.000 0.000 3.624
Zn 0.000 0.000 7.166
Zn 0.000 0.000 10.719
Zn 0.000 0.000 14.261
Ga 0.000 0.000 0.000
Pt 1.436 1.436 1.749
Pt 1.436 1.436 5.384
Pt 1.436 1.436 8.942
Pt 1.436 1.436 12.501
Pt 1.436 1.436 16.136
```

Values from the calculation:
Density of states at the Fermi level (states/eV/f.u.): 3.7
Magnetization (μB per formula unit): 0.00
Formation energy from the elements (eV per atom): -0.5613

Record 2
A relaxed structure of Tm3AsSe2. Source: Alexandria via LeMat-Bulk, functional GGA-PBE.

The structure in extended XYZ format:
```
6
Lattice="-0.180 3.437 -2.088 -5.007 1.202 2.410 5.463 0.575 4.356" Properties=species:S:1:pos:R:3 pbc="T T T"
Tm -0.865 3.405 -0.141
Tm 1.140 1.809 4.819
Tm 2.641 2.006 1.134
As 0.138 2.607 2.339
Se -3.425 3.949 0.974
Se 3.700 1.265 3.704
```

Values from the calculation:
Formation energy without anion corrections (eV/atom): -1.666
Density of states at the Fermi level (states/eV/f.u.): 2.1
Magnetization (μB per formula unit): 0.00

Record 3
A relaxed structure of BaCaEuDy. Source: Alexandria via LeMat-Bulk, functional GGA-PBE.

The structure in extended XYZ format:
```
4
Lattice="6.213 0.000 0.000 3.106 5.380 0.000 3.106 1.793 5.073" Properties=species:S:1:pos:R:3 pbc="T T T"
Eu 9.319 5.380 3.804
Ca 3.106 1.793 1.268
Ba 6.213 3.587 2.536
Dy 0.000 0.000 0.000
```

Values from the calculation:
Density of states at the Fermi level (states/eV/f.u.): 10.0
Magnetization (μB per formula unit): 7.60
Formation energy from the elements (eV per atom): 0.1698

Record 4
A relaxed structure of Ba2ReSb. Source: Alexandria via LeMat-Bulk, functional GGA-PBE.

The structure in extended XYZ format:
```
4
Lattice="-4.450 -0.860 3.117 0.446 -2.784 4.723 -0.543 2.626 4.803" Properties=species:S:1:pos:R:3 pbc="T T T"
Ba 0.000 0.000 0.000
Ba -1.137 -0.255 3.161
Re -2.274 -0.509 6.322
Sb -3.411 -0.764 9.482
```

Values from the calculation:
Formation energy without anion corrections (eV/atom): 0.658
Density of states at the Fermi level (states/eV/f.u.): 2.3
Magnetization (μB per formula unit): 2.05

Record 5
A relaxed structure of Cs3GaO3. Source: Alexandria via LeMat-Bulk, functional GGA-PBE.

The structure in extended XYZ format:
```
28
Lattice="7.247 0.000 0.000 0.000 8.247 0.008 0.000 1.432 11.425" Properties=species:S:1:pos:R:3 pbc="T T T"
Cs 2.428 2.876 0.799
Cs 4.574 8.124 1.789
Cs 5.983 3.362 2.277
Cs 2.359 5.602 3.444
Cs 0.951 0.840 3.931
Cs 6.051 6.087 4.922
Cs 1.196 3.593 6.511
Cs 6.296 8.840 7.502
Cs 4.887 4.078 7.989
Cs 1.264 6.318 9.156
Cs 2.673 1.556 9.643
Cs 4.819 6.803 10.634
Ga 0.546 7.119 0.722
Ga 4.169 1.845 4.998
Ga 3.077 7.835 6.435
Ga 6.700 2.561 10.710
O 2.238 6.380 0.429
O 0.450 0.839 0.953
O 6.867 6.220 2.069
O 3.244 2.744 3.652
O 4.073 8.125 4.768
O 5.861 2.583 5.291
O 1.385 7.097 6.141
O 3.174 1.555 6.665
O 4.003 6.936 7.781
O 0.380 3.460 9.364
O 6.797 8.841 10.480
O 5.009 3.299 11.004
```

Values from the calculation:
Formation energy without anion corrections (eV/atom): -1.511
Density of states at the Fermi level (states/eV/f.u.): 0.0
Polymorph energy (0 for the lowest one) (eV/atom): 0.0000
Magnetization (μB per formula unit): 0.05

Record 6
A relaxed structure of Sc3RhF. Source: Alexandria via LeMat-Bulk, functional GGA-PBE.

The structure in extended XYZ format:
```
5
Lattice="5.038 0.000 0.000 0.000 5.038 0.000 0.000 0.000 5.038" Properties=species:S:1:pos:R:3 pbc="T T T"
Sc 0.000 2.519 0.000
Sc 0.000 0.000 2.519
Sc 2.519 0.000 0.000
Rh 0.000 0.000 0.000
F 2.519 2.519 2.519
```

Values from the calculation:
Formation energy without anion corrections (eV/atom): -0.489
Density of states at the Fermi level (states/eV/f.u.): 10.3
Polymorph energy (0 for the lowest one) (eV/atom): 0.5911
Magnetization (μB per formula unit): 0.00

Question: The highest density of states at the Fermi level belongs to which entry?
Answer: Sc3RhF